w | This record from Alexandria via LeMat-Bulk describes crystalline BRhC3 at its relaxed geometry. The functional is GGA-PBE.

abc: 3.9568 3.9568 3.9568
angles: 90.00 90.00 90.00
Last column: nearest neighbours and their distance in Å.
Space group Pm-3m (No. 221)
One atom of each set of equivalent atoms:
B: 0.0000 0.0000 0.0000 x1  12 C 2.80
Rh: 0.5000 0.5000 0.5000 x1  6 C 1.98
C: 0.0000 0.5000 0.5000 x3  2 Rh 1.98



x | This record from Alexandria via LeMat-Bulk describes crystalline BRhC3 at its relaxed geometry. The functional is GGA-PBE.

abc: 3.4775 3.4775 3.4775
angles: 90.00 90.00 90.00
Last column: nearest neighbours and their distance in Å.
Space group Pm-3m (No. 221)
One atom of each set of equivalent atoms:
B: 0.0000 0.0000 0.0000 x1  6 C 1.74
Rh: 0.5000 0.5000 0.5000 x1  12 C 2.46
C: 0.0000 0.0000 0.5000 x3  2 B 1.74



Which of them is least stable? Easy: w.



w | This record from Alexandria via LeMat-Bulk describes crystalline BRh2C at its relaxed geometry. The functional is GGA-PBE.

abc: 5.4408 5.4408 5.4408
angles: 90.00 90.00 90.00
Last column: nearest neighbours and their distance in Å.
Space group Fm-3m (No. 225)
One atom of each set of equivalent atoms:
B: 0.0000 0.0000 0.0000 x4  8 Rh 2.36
Rh: 0.2500 0.2500 0.2500 x8  4 B 2.36, 4 C 2.36
C: 0.0000 0.0000 0.5000 x4  8 Rh 2.36



x | This record from Alexandria via LeMat-Bulk describes crystalline BRh2C at its relaxed geometry. The functional is GGA-PBE.

abc: 4.6710 4.6710 9.1850
angles: 90.00 90.00 90.00
Last column: nearest neighbours and their distance in Å.
Space group I-42d (No. 122)
One atom of each set of equivalent atoms:
B: 0.0000 0.0000 0.0000 x4  4 Rh 2.05
Rh: 0.2376 0.2500 0.6250 x8  2 C 1.98, 2 B 2.05
C: 0.0000 0.0000 0.5000 x4  4 Rh 1.98



Which of them is least stable? Easy: w.



w | This record from Alexandria via LeMat-Bulk describes crystalline SiBRhCS at its relaxed geometry. The functional is GGA-PBE.

abc: 5.3679 3.0989 7.4372
angles: 90.00 107.39 90.00
Last column: nearest neighbours and their distance in Å.
Space group Cm (No. 8)
One atom of each set of equivalent atoms:
Si: 0.0000 0.0000 0.0000 x2  3 C 1.92-1.93
B: 0.0313 0.5000 0.6799 x2  1 C 1.57
Rh: 0.2614 0.5000 0.2305 x2  1 S 2.33, 1 C 2.33, 3 Si 2.42-2.43
C: 0.1249 0.5000 0.9017 x2  1 B 1.57
S: 0.3161 0.5000 0.5530 x2  3 B 1.99-2.02



x | This record from Alexandria via LeMat-Bulk describes crystalline SiBRhCS at its relaxed geometry. The functional is GGA-PBE.

abc: 2.9861 2.9861 24.0137
angles: 90.00 90.00 120.00
Last column: nearest neighbours and their distance in Å.
Space group R3m (No. 160, hexagonal axes)
One atom of each set of equivalent atoms:
Si: 0.0000 0.0000 0.0000 x3  3 C 1.89
B: 0.0000 0.0000 0.5695 x3  1 C 1.56
Rh: 0.0000 0.0000 0.0959 x3  1 Si 2.30, 1 S 2.48
C: 0.0000 0.0000 0.6345 x3  1 B 1.56
S: 0.0000 0.0000 0.1990 x3  3 B 1.94



y | This record from Alexandria via LeMat-Bulk describes crystalline SiBRhCS at its relaxed geometry. The functional is GGA-PBE.

abc: 2.9582 2.9582 7.7568
angles: 90.00 90.00 120.00
Last column: nearest neighbours and their distance in Å.
Space group P3m1 (No. 156)
One atom of each set of equivalent atoms:
Si: 0.0000 0.0000 0.0000 x1  3 C 1.92
B: 0.3333 0.6667 0.6869 x1  1 C 1.54
Rh: 0.6667 0.3333 0.2505 x1  1 S 2.49, 3 Si 2.59
C: 0.3333 0.6667 0.8858 x1  1 B 1.54
S: 0.6667 0.3333 0.5711 x1  3 B 1.93



z | This record from Alexandria via LeMat-Bulk describes crystalline SiBRhCS at its relaxed geometry. The functional is GGA-PBE.

abc: 3.3852 3.0745 6.6029
angles: 90.00 103.71 90.00
Last column: nearest neighbours and their distance in Å.
Space group Pm (No. 6)
One atom of each set of equivalent atoms:
Si: 0.0000 0.0000 0.0000 x1  2 C 1.80, 1 B 2.00
B: 0.6036 0.0000 0.7222 x1  2 S 1.85, 1 Si 2.00
Rh: 0.8335 0.5000 0.2767 x1  2 C 2.04-2.20
C: 0.2725 0.5000 0.0782 x1  2 Si 1.80
S: 0.4588 0.5000 0.5677 x1  2 B 1.85



Which of them is least stable? Easy: z.



w | This record from Alexandria via LeMat-Bulk describes crystalline SiBRhCS at its relaxed geometry. The functional is GGA-PBE.

abc: 3.0662 3.9842 5.6667
angles: 101.73 94.94 108.95
Last column: nearest neighbours and their distance in Å.
Space group P1 (No. 1)
One atom of each set of equivalent atoms:
Si: 0.0000 0.0000 0.0000 x1  2 C 1.81-1.83
B: 0.2227 0.4868 0.6250 x1  1 C 1.52
Rh: 0.3577 0.6046 0.2322 x1  1 C 2.32, 1 Si 2.34, 2 S 2.40-2.49, 1 B 2.41
C: 0.3828 0.7779 0.8661 x1  1 B 1.52
S: 0.5961 0.2482 0.4770 x1  2 B 1.86-1.87



x | This record from Alexandria via LeMat-Bulk describes crystalline SiBRhCS at its relaxed geometry. The functional is GGA-PBE.

abc: 5.1022 2.9438 8.0121
angles: 90.00 102.43 90.00
Last column: nearest neighbours and their distance in Å.
Space group Cm (No. 8)
One atom of each set of equivalent atoms:
Si: 0.0000 0.0000 0.0000 x2  3 C 1.92-1.93
B: 0.2295 0.0000 0.6861 x2  1 C 1.56
Rh: 0.2398 0.5000 0.2470 x2  1 S 2.53, 3 Si 2.56-2.61
C: 0.2937 0.0000 0.8850 x2  1 B 1.56
S: 0.3571 0.5000 0.5704 x2  3 B 1.93



y | This record from Alexandria via LeMat-Bulk describes crystalline SiBRhCS at its relaxed geometry. The functional is GGA-PBE.

abc: 2.7466 3.0136 7.5309
angles: 90.00 90.00 90.00
Last column: nearest neighbours and their distance in Å.
Space group Pmm2 (No. 25)
One atom of each set of equivalent atoms:
Si: 0.0000 0.0000 0.0000 x1  2 C 1.89
B: 0.5000 0.5000 0.7354 x1  2 C 1.61
Rh: 0.5000 0.0000 0.2522 x1  2 Si 2.34, 1 S 2.38
C: 0.0000 0.5000 0.8474 x1  2 B 1.61
S: 0.5000 0.0000 0.5676 x1  2 B 1.97



z | This record from Alexandria via LeMat-Bulk describes crystalline SiBRhCS at its relaxed geometry. The functional is GGA-PBE.

abc: 13.2798 2.9571 3.5567
angles: 90.00 95.56 90.00
Last column: nearest neighbours and their distance in Å.
Space group Cm (No. 8)
One atom of each set of equivalent atoms:
Si: 0.0000 0.0000 0.0000 x2  2 C 1.86
B: 0.3274 0.0000 0.5877 x2  1 C 1.50
Rh: 0.0778 0.5000 0.5207 x2  1 C 2.22, 1 S 2.35
C: 0.4329 0.0000 0.7811 x2  1 B 1.50
S: 0.2519 0.5000 0.4438 x2  2 B 1.83



Which of them is least stable? Easy: x.